VASP calculation (GGA-PBE) on an optimized crystal structure of Nd2CuSbS5.

Calculated values
For the magnetic moment, the calculation gives 0.00 μB/atom. The calculation puts the uncorrected formation energy at -112.4 kJ per mole of atoms. Its crystal system is orthorhombic.

Cell and atoms, written as CIF:
```
data_Nd2CuSbS5
_chemical_formula_sum 'Nd8 Cu4 Sb4 S20'
_cell_length_a 3.999
_cell_length_b 17.484
_cell_length_c 11.832
_cell_angle_alpha 90.00
_cell_angle_beta 90.00
_cell_angle_gamma 90.00
_symmetry_space_group_name_H-M 'C m c 21'
_symmetry_Int_Tables_number 36
loop_
_symmetry_equiv_pos_as_xyz
'x,y,z'
'-x,-y,z+1/2'
'-x,y,z'
'x,-y,z+1/2'
'x+1/2,y+1/2,z'
'-x+1/2,-y+1/2,z+1/2'
'-x+1/2,y+1/2,z'
'x+1/2,-y+1/2,z+1/2'
loop_
_atom_site_label
_atom_site_type_symbol
_atom_site_fract_x
_atom_site_fract_y
_atom_site_fract_z
Nd1 Nd 0.000 0.117 0.000
Nd2 Nd 0.000 0.125 0.627
Cu1 Cu 0.000 0.251 0.433
Sb1 Sb 0.000 0.408 0.798
S1 S 0.000 0.034 0.408
S2 S 0.000 0.301 0.628
S3 S 0.000 0.308 0.973
S4 S 0.000 0.355 0.317
S5 S 0.000 0.496 0.614
```